An optimized crystal structure of SrLa2Mg, computed with GGA-PBE.

The structure belongs to space group P2/m (No. 10); the cell edges are 3.680, 6.177 and 6.457 Å and the angles 90.00°, 97.60° and 90.00°. The distinct sites, in fractional coordinates, are Sr at (0.000, 0.000, 0.000), La at (0.270, 0.500, 0.714) and Mg at (0.500, 0.000, 0.500).

The calculation puts the total energy at -0.11773 hartree per atom. As for the total moment: 0.0 μB per cell. Its theoretical density is 4.45 g/cm³. The density of states at the Fermi level is 4.8 states/eV/cell. Its energy relative to the elements is 0.079 eV per atom.